# 1
Material: Pm3Bi2Te2
Method: DFT, PBE-GGA
State: relaxed

extended XYZ file:
```
7
Lattice="4.4770 0.0000 0.0000 0.0000 7.9151 -0.7768 -2.2385 -3.2894 7.9622" Properties=species:S:1:pos:R:3 pbc="T T T"
Pm 0.0000 3.9576 -0.3884
Pm 0.0000 4.2220 3.6341
Pm 2.2385 0.4037 3.5513
Bi 2.2385 5.3591 1.4599
Bi 0.0000 -0.7334 5.7255
Te 2.2385 3.0038 5.4183
Te 0.0000 1.6219 1.7671
```

Values from the calculation:
**Density**: 6.8 g/cm3
**Total energy**: -5.00 eV/atom

---

# 2
Material: Li2ThMg
Method: DFT, PBE-GGA
State: relaxed

extended XYZ file:
```
4
Lattice="-0.6311 -1.4543 -3.0587 -2.8946 -1.3836 1.2552 -3.9122 6.2299 -2.1549" Properties=species:S:1:pos:R:3 pbc="T T T"
Mg -1.7629 -1.4189 -0.9018
Th -3.7190 1.6960 -1.9792
Li -3.0880 4.9175 -1.7009
Li -0.8241 1.3124 -0.4539
```

Values from the calculation:
**Density**: 4.9 g/cm3
**Total energy**: -3.08 eV/atom

---

# 3
Material: Na3Ag2Pb2
Method: DFT, PBE-GGA
State: relaxed

extended XYZ file:
```
7
Lattice="4.8712 -0.0168 -1.5609 -2.6615 4.3682 -0.0190 -0.1023 -0.0240 8.1184" Properties=species:S:1:pos:R:3 pbc="T T T"
Na 0.0000 0.0000 0.0000
Na 1.1409 3.7191 3.5111
Na 0.9665 0.6084 3.0273
Ag 0.2308 3.1509 0.6735
Ag 1.8766 1.1765 5.8649
Pb -0.8114 2.5300 5.8332
Pb 2.9188 1.7975 0.7052
```

Values from the calculation:
**Density**: 6.8 g/cm3
**Total energy**: -2.54 eV/atom

---

# 4
Material: Sb3AuN
Method: DFT, PBE-GGA
State: relaxed

extended XYZ file:
```
5
Lattice="5.3450 0.0000 0.0000 0.0000 5.3450 0.0000 0.0000 0.0000 5.3450" Properties=species:S:1:pos:R:3 pbc="T T T"
Sb 0.0000 2.6725 0.0000
Sb 0.0000 0.0000 2.6725
Sb 2.6725 0.0000 0.0000
Au 0.0000 0.0000 0.0000
N 2.6725 2.6725 2.6725
```

Values from the calculation:
**Density**: 6.3 g/cm3
**Total energy**: -3.01 eV/atom

---

# 5
Material: PmPaAs2
Method: DFT, PBE-GGA
State: relaxed

extended XYZ file:
```
4
Lattice="4.2107 0.0000 0.0000 2.1053 3.6466 0.0000 2.1053 1.2155 8.6205" Properties=species:S:1:pos:R:3 pbc="T T T"
As 2.1054 1.2155 5.7731
As 6.3160 3.6466 2.8475
Pa 4.2107 2.4310 4.3103
Pm 0.0000 0.0000 0.0000
```

Values from the calculation:
**Density**: 6.6 g/cm3
**Total energy**: -6.39 eV/atom

---

# 6
Material: LaBiCl6
Method: DFT, PBE-GGA
State: relaxed

extended XYZ file:
```
8
Lattice="-4.8421 4.8651 -0.8576 -6.0598 -3.3435 0.2824 -3.2316 -0.7851 6.3098" Properties=species:S:1:pos:R:3 pbc="T T T"
La 0.0000 0.0000 0.0000
Bi -5.4510 0.7608 -0.2876
Cl -8.3477 1.7194 3.9377
Cl -5.2341 3.0235 1.2390
Cl -8.8994 -2.2870 4.4955
Cl -5.7859 -0.9829 1.7969
Cl -8.1540 1.1114 -0.4264
Cl -2.7479 0.4102 -0.1488
```

Values from the calculation:
**Density**: 3.2 g/cm3
**Total energy**: -4.14 eV/atom

---

# 7
Material: Ag4Pt3
Method: DFT, PBE-GGA
State: relaxed

extended XYZ file:
```
7
Lattice="-1.3241 1.4382 4.8970 -3.7513 -0.8024 -3.6174 -0.2750 -5.0019 1.3947" Properties=species:S:1:pos:R:3 pbc="T T T"
Ag -0.0692 -1.2581 0.3508
Ag -0.2058 -3.7438 1.0439
Ag -2.2707 -1.8096 2.7562
Ag -3.0798 -2.5565 -0.0820
Pt -1.8757 -0.4012 -1.8087
Pt -2.5377 0.3179 0.6398
Pt -0.6621 0.7191 2.4485
```

Values from the calculation:
**Density**: 13.5 g/cm3
**Total energy**: -4.12 eV/atom

---

# 8
Material: Mo2Br
Method: DFT, PBE-GGA
State: relaxed

extended XYZ file:
```
3
Lattice="-1.5555 -1.6652 -3.5532 0.3468 -4.1454 -0.7164 -3.4263 -2.4610 0.1461" Properties=species:S:1:pos:R:3 pbc="T T T"
Mo -3.4763 -6.2036 -3.0926
Mo -1.1588 -2.0679 -1.0309
Br 0.0000 0.0000 0.0000
```

Values from the calculation:
**Density**: 8.5 g/cm3
**Total energy**: -6.23 eV/atom